No. 1
## Zn2FeW (PBE-GGA)

Data for Zn2FeW after structural relaxation.

Cell lengths 8.739, 2.648, 4.875 Å; angles 90.00, 97.07, 90.00 degrees
Space group Cm (No. 8)
One atom of each set of equivalent atoms:
Zn 0.000 0.000 0.000 (multiplicity 2)
Zn 0.248 0.000 0.783 (multiplicity 2)
Fe 0.005 0.500 0.497 (multiplicity 2)
W 0.253 0.500 0.293 (multiplicity 2)

Crystal system: monoclinic

=====

No. 2
## Zn2FeW (PBE-GGA)

Data for Zn2FeW after structural relaxation.

Cell lengths 2.966, 4.263, 4.414 Å; angles 90.00, 90.00, 90.00 degrees
Space group Pmmm (No. 47)
One atom of each set of equivalent atoms:
Zn 0.000 0.000 0.000 (multiplicity 1)
Zn 0.500 0.500 0.000 (multiplicity 1)
Fe 0.000 0.500 0.500 (multiplicity 1)
W 0.500 0.000 0.500 (multiplicity 1)

Crystal system: orthorhombic

=====

No. 3
## ZrFeW2 (PBE-GGA)

Data for ZrFeW2 after structural relaxation.

Cell lengths 3.226, 4.542, 8.881 Å; angles 90.00, 90.00, 90.00 degrees
Space group Cmm2 (No. 35)
One atom of each set of equivalent atoms:
Zr 0.000 0.000 0.000 (multiplicity 2)
Fe 0.000 0.500 0.749 (multiplicity 2)
W 0.000 0.000 0.528 (multiplicity 2)
W 0.000 0.500 0.279 (multiplicity 2)

Crystal system: orthorhombic

=====

No. 4
## ZrFeW2 (PBE-GGA)

Data for ZrFeW2 after structural relaxation.

Cell lengths 3.763, 3.763, 9.320 Å; angles 90.00, 90.00, 90.00 degrees
Space group I4/mmm (No. 139)
One atom of each set of equivalent atoms:
Zr 0.000 0.000 0.000 (multiplicity 2)
Fe 0.000 0.000 0.500 (multiplicity 2)
W 0.000 0.500 0.250 (multiplicity 4)

Crystal system: tetragonal

=====

Number 1: distance to the lowest polymorph of the same formula 126 meV per atom, magnetization 3.33 μB per cell, formation energy 0.918 eV per formula unit. Number 2: distance to the lowest polymorph of the same formula 169 meV per atom, magnetization 1.65 μB per cell, formation energy 1.090 eV per formula unit. Number 3: distance to the lowest polymorph of the same formula 67 meV per atom, magnetization 3.47 μB per cell, formation energy 0.585 eV per formula unit. Number 4: distance to the lowest polymorph of the same formula 227 meV per atom, magnetization 0.02 μB per cell, formation energy 1.225 eV per formula unit.